No. 1
Computed, not measured: ZnNiO2 at its PBEsol-relaxed geometry at the SCAN level of DFT.

**ρ**: 5.8 g cm⁻³
**Raw formation energy**: -394 kJ/mol of formula units
**Magnetic moment**: 2.00 Bohr magnetons per cell

abc: 5.937 5.937 5.937
angles: 29.33 29.33 29.33
Fractional positions:
Zn  0.000  0.000  0.000
Ni  0.500  0.500  0.500
O  0.398  0.398  0.398
O  0.602  0.602  0.602

---

No. 2
Computed, not measured: Ni5Os at its PBEsol-relaxed geometry at the SCAN level of DFT.

**ρ**: 12.1 g cm⁻³
**Magnetic moment**: 4.09 Bohr magnetons per cell
**Formation energy**: 124 meV/atom

abc: 4.763 4.763 5.887
angles: 104.59 104.59 30.90
Fractional positions:
Ni  0.000  0.000  0.000
Ni  0.055  0.055  0.605
Ni  0.333  0.333  0.663
Ni  0.391  0.391  0.278
Ni  0.669  0.669  0.334
Os  0.722  0.722  0.942

---

No. 3
Computed, not measured: Ni7Os at its PBEsol-relaxed geometry at the SCAN level of DFT.

**ρ**: 11.5 g cm⁻³
**Magnetic moment**: 6.66 Bohr magnetons per cell
**Formation energy**: 104 meV/atom

abc: 4.976 4.976 4.976
angles: 60.00 60.00 60.00
Fractional positions:
Ni  0.000  0.000  0.000
Ni  0.000  0.000  0.500
Ni  0.000  0.500  0.000
Ni  0.000  0.500  0.500
Ni  0.500  0.000  0.000
Ni  0.500  0.000  0.500
Ni  0.500  0.500  0.000
Os  0.500  0.500  0.500

---

No. 4
Computed, not measured: Ni3Os at its PBEsol-relaxed geometry at the SCAN level of DFT.

**ρ**: 13.4 g cm⁻³
**Magnetic moment**: 0.00 Bohr magnetons per cell
**Formation energy**: 139 meV/atom

abc: 2.542 3.586 4.972
angles: 90.00 90.00 90.00
Fractional positions:
Ni  0.000  0.000  0.000
Ni  0.500  0.500  0.249
Ni  0.500  0.500  0.751
Os  0.000  0.000  0.500

---

No. 5
Computed, not measured: Ni3Os at its PBEsol-relaxed geometry at the SCAN level of DFT.

**ρ**: 13.4 g cm⁻³
**Magnetic moment**: 0.00 Bohr magnetons per cell
**Formation energy**: 116 meV/atom

abc: 5.036 5.036 3.569
angles: 90.00 90.00 90.18
Fractional positions:
Ni  0.118  0.375  0.750
Ni  0.122  0.878  0.750
Ni  0.375  0.118  0.250
Ni  0.625  0.882  0.750
Ni  0.878  0.122  0.250
Ni  0.882  0.625  0.250
Os  0.376  0.624  0.250
Os  0.624  0.376  0.750

---

No. 6
Computed, not measured: Ni3Os at its PBEsol-relaxed geometry at the SCAN level of DFT.

**ρ**: 13.5 g cm⁻³
**Magnetic moment**: 0.00 Bohr magnetons per cell
**Formation energy**: 274 meV/atom

abc: 3.562 3.562 3.562
angles: 90.00 90.00 90.00
Fractional positions:
Ni  0.000  0.000  0.500
Ni  0.000  0.500  0.000
Ni  0.500  0.000  0.000
Os  0.500  0.500  0.500

---

No. 7
Computed, not measured: Ni3Os at its PBEsol-relaxed geometry at the SCAN level of DFT.

**ρ**: 13.4 g cm⁻³
**Magnetic moment**: 0.80 Bohr magnetons per cell
**Formation energy**: 141 meV/atom

abc: 2.572 2.572 6.852
angles: 90.00 90.00 90.00
Fractional positions:
Ni  0.000  0.000  0.000
Ni  0.500  0.500  0.241
Ni  0.500  0.500  0.759
Os  0.000  0.000  0.500

---

No. 8
Computed, not measured: Ni5Os at its PBEsol-relaxed geometry at the SCAN level of DFT.

**ρ**: 12.1 g cm⁻³
**Magnetic moment**: 3.46 Bohr magnetons per cell
**Formation energy**: 122 meV/atom

abc: 4.061 6.603 6.603
angles: 22.02 90.00 90.00
Fractional positions:
Ni  0.000  0.000  0.000
Ni  0.000  0.327  0.327
Ni  0.000  0.663  0.663
Ni  0.500  0.218  0.218
Ni  0.500  0.556  0.556
Os  0.500  0.888  0.888

---

No. 9
Computed, not measured: Ni3Os at its PBEsol-relaxed geometry at the SCAN level of DFT.

**ρ**: 13.4 g cm⁻³
**Magnetic moment**: 0.01 Bohr magnetons per cell
**Formation energy**: 128 meV/atom

abc: 4.396 8.167 5.058
angles: 90.00 90.00 90.00
Fractional positions:
Ni  0.085  0.250  0.136
Ni  0.249  0.000  0.382
Ni  0.249  0.500  0.382
Ni  0.251  0.000  0.882
Ni  0.251  0.500  0.882
Ni  0.415  0.750  0.636
Ni  0.585  0.250  0.364
Ni  0.749  0.000  0.118
Ni  0.749  0.500  0.118
Ni  0.751  0.000  0.618
Ni  0.751  0.500  0.618
Ni  0.915  0.750  0.864
Os  0.080  0.250  0.624
Os  0.420  0.750  0.124
Os  0.580  0.250  0.876
Os  0.920  0.750  0.376

---

No. 10
Computed, not measured: Ni3Os at its PBEsol-relaxed geometry at the SCAN level of DFT.

**ρ**: 13.1 g cm⁻³
**Magnetic moment**: 2.55 Bohr magnetons per cell
**Formation energy**: 245 meV/atom

abc: 4.248 4.248 2.570
angles: 90.00 90.00 90.00
Fractional positions:
Ni  0.000  0.000  0.000
Ni  0.000  0.500  0.500
Ni  0.500  0.000  0.500
Os  0.500  0.500  0.000

---

No. 11
Computed, not measured: NiOs5 at its PBEsol-relaxed geometry at the SCAN level of DFT.

**ρ**: 20.7 g cm⁻³
**Magnetic moment**: 0.00 Bohr magnetons per cell
**Formation energy**: 73 meV/atom

abc: 4.274 7.098 7.098
angles: 22.06 90.00 90.00
Fractional positions:
Ni  0.000  0.000  0.000
Os  0.000  0.335  0.335
Os  0.000  0.667  0.667
Os  0.500  0.109  0.109
Os  0.500  0.448  0.448
Os  0.500  0.779  0.779

---

No. 12
Computed, not measured: Ni3Os at its PBEsol-relaxed geometry at the SCAN level of DFT.

**ρ**: 13.4 g cm⁻³
**Magnetic moment**: 0.00 Bohr magnetons per cell
**Formation energy**: 120 meV/atom

abc: 4.337 4.337 4.364
angles: 99.23 99.23 34.06
Fractional positions:
Ni  0.000  0.000  0.000
Ni  0.250  0.250  0.749
Ni  0.750  0.750  0.251
Os  0.500  0.500  0.500

---

No. 13
Computed, not measured: NiPOs2 at its PBEsol-relaxed geometry at the SCAN level of DFT.

**ρ**: 14.9 g cm⁻³
**Magnetic moment**: 0.00 Bohr magnetons per cell
**Formation energy**: 41 meV/atom

abc: 5.445 5.445 5.445
angles: 150.62 138.32 51.82
Fractional positions:
Ni  0.000  0.000  0.000
P  0.500  0.500  0.000
Os  0.306  0.806  0.500
Os  0.694  0.194  0.500

---

No. 14
Computed, not measured: NiPOs2 at its PBEsol-relaxed geometry at the SCAN level of DFT.

**ρ**: 15.0 g cm⁻³
**Magnetic moment**: 0.00 Bohr magnetons per cell
**Formation energy**: 502 meV/atom

abc: 4.875 4.875 2.736
angles: 104.51 104.51 115.11
Fractional positions:
Ni  0.000  0.000  0.000
P  0.500  0.500  0.000
Os  0.000  0.500  0.500
Os  0.500  0.000  0.500

---

No. 15
Computed, not measured: NiPOs2 at its PBEsol-relaxed geometry at the SCAN level of DFT.

**ρ**: 15.3 g cm⁻³
**Magnetic moment**: 0.00 Bohr magnetons per cell
**Formation energy**: 236 meV/atom

abc: 2.758 3.570 5.189
angles: 90.00 90.00 90.00
Fractional positions:
Ni  0.000  0.000  0.000
P  0.500  0.500  0.800
Os  0.000  0.000  0.504
Os  0.500  0.500  0.254

---

No. 16
Computed, not measured: NiP2Os at its PBEsol-relaxed geometry at the SCAN level of DFT.

**ρ**: 10.5 g cm⁻³
**Magnetic moment**: 0.00 Bohr magnetons per cell
**Formation energy**: 336 meV/atom

abc: 4.739 4.739 4.739
angles: 136.78 136.78 62.77
Fractional positions:
Ni  0.000  0.000  0.000
P  0.250  0.750  0.500
P  0.500  0.500  0.000
Os  0.750  0.250  0.500

---

No. 17
Computed, not measured: NiPOs2 at its PBEsol-relaxed geometry at the SCAN level of DFT.

**ρ**: 15.0 g cm⁻³
**Magnetic moment**: 0.00 Bohr magnetons per cell
**Formation energy**: 557 meV/atom

abc: 4.195 4.195 4.195
angles: 60.00 60.00 60.00
Fractional positions:
Ni  0.000  0.000  0.000
P  0.750  0.750  0.750
Os  0.250  0.250  0.250
Os  0.500  0.500  0.500

---

No. 18
Computed, not measured: NiPOs2 at its PBEsol-relaxed geometry at the SCAN level of DFT.

**ρ**: 15.8 g cm⁻³
**Magnetic moment**: 0.00 Bohr magnetons per cell
**Formation energy**: 101 meV/atom

abc: 2.820 2.820 6.210
angles: 90.00 90.00 90.00
Fractional positions:
Ni  0.000  0.000  0.000
P  0.500  0.500  0.823
Os  0.000  0.000  0.570
Os  0.500  0.500  0.285

---

No. 19
Computed, not measured: NiOsPb2 at its PBEsol-relaxed geometry at the SCAN level of DFT.

**ρ**: 14.4 g cm⁻³
**Magnetic moment**: 0.00 Bohr magnetons per cell
**Formation energy**: 737 meV/atom

abc: 6.403 6.403 6.403
angles: 152.17 141.15 48.46
Fractional positions:
Ni  0.000  0.000  0.000
Os  0.820  0.320  0.500
Pb  0.214  0.714  0.500
Pb  0.479  0.479  0.000

---

No. 20
Computed, not measured: NiOsPb3 at its PBEsol-relaxed geometry at the SCAN level of DFT.

**ρ**: 10.4 g cm⁻³
**Magnetic moment**: 0.29 Bohr magnetons per cell
**Formation energy**: 925 meV/atom

abc: 5.181 5.181 5.181
angles: 90.00 90.00 90.00
Fractional positions:
Ni  0.000  0.000  0.000
Os  0.500  0.500  0.500
Pb  0.000  0.500  0.500
Pb  0.500  0.000  0.500
Pb  0.500  0.500  0.000

---

No. 21
Computed, not measured: NiOsPb2 at its PBEsol-relaxed geometry at the SCAN level of DFT.

**ρ**: 15.4 g cm⁻³
**Magnetic moment**: 0.00 Bohr magnetons per cell
**Formation energy**: 849 meV/atom

abc: 3.310 3.308 6.557
angles: 90.00 92.84 90.00
Fractional positions:
Ni  0.000  0.000  0.000
Os  0.000  0.000  0.500
Pb  0.483  0.500  0.244
Pb  0.517  0.500  0.756

---

No. 22
Computed, not measured: ZnNiOsPd2 at its PBEsol-relaxed geometry at the SCAN level of DFT.

**ρ**: 8.8 g cm⁻³
**Magnetic moment**: 0.00 Bohr magnetons per cell
**Formation energy**: 1397 meV/atom

abc: 4.764 4.764 4.399
angles: 90.00 90.00 90.00
Fractional positions:
Zn  0.000  0.000  0.000
Ni  0.500  0.500  0.000
Os  0.500  0.500  0.500
Pd  0.000  0.500  0.500
Pd  0.500  0.000  0.500

---

No. 23
Computed, not measured: Ni2OsPt at its PBEsol-relaxed geometry at the SCAN level of DFT.

**ρ**: 16.5 g cm⁻³
**Magnetic moment**: 0.00 Bohr magnetons per cell
**Formation energy**: 43 meV/atom

abc: 8.468 8.468 8.468
angles: 18.00 18.00 18.00
Fractional positions:
Ni  0.247  0.247  0.247
Ni  0.753  0.753  0.753
Os  0.500  0.500  0.500
Pt  0.000  0.000  0.000

---

No. 24
Computed, not measured: NiOs2Pt at its PBEsol-relaxed geometry at the SCAN level of DFT.

**ρ**: 19.3 g cm⁻³
**Magnetic moment**: 0.00 Bohr magnetons per cell
**Formation energy**: 577 meV/atom

abc: 4.256 4.256 4.256
angles: 60.00 60.00 60.00
Fractional positions:
Ni  0.000  0.000  0.000
Os  0.250  0.250  0.250
Os  0.750  0.750  0.750
Pt  0.500  0.500  0.500

---

No. 25
Computed, not measured: Ni2OsPt at its PBEsol-relaxed geometry at the SCAN level of DFT.

**ρ**: 16.7 g cm⁻³
**Magnetic moment**: 0.00 Bohr magnetons per cell
**Formation energy**: 14 meV/atom

abc: 2.639 2.639 7.157
angles: 90.00 90.00 90.00
Fractional positions:
Ni  0.000  0.000  0.242
Ni  0.000  0.000  0.758
Os  0.500  0.500  0.000
Pt  0.500  0.500  0.500

---

No. 26
Computed, not measured: NiOsPt2 at its PBEsol-relaxed geometry at the SCAN level of DFT.

**ρ**: 18.9 g cm⁻³
**Magnetic moment**: 1.98 Bohr magnetons per cell
**Formation energy**: 350 meV/atom

abc: 4.298 4.298 4.298
angles: 60.00 60.00 60.00
Fractional positions:
Ni  0.000  0.000  0.000
Os  0.500  0.500  0.500
Pt  0.250  0.250  0.250
Pt  0.750  0.750  0.750

---

No. 27
Computed, not measured: Ni2OsPt at its PBEsol-relaxed geometry at the SCAN level of DFT.

**ρ**: 16.9 g cm⁻³
**Magnetic moment**: 0.00 Bohr magnetons per cell
**Formation energy**: 175 meV/atom

abc: 4.121 4.121 4.121
angles: 60.00 60.00 60.00
Fractional positions:
Ni  0.250  0.250  0.250
Ni  0.750  0.750  0.750
Os  0.000  0.000  0.000
Pt  0.500  0.500  0.500

---

No. 28
Computed, not measured: NiOsPt2 at its PBEsol-relaxed geometry at the SCAN level of DFT.

**ρ**: 19.5 g cm⁻³
**Magnetic moment**: 0.00 Bohr magnetons per cell
**Formation energy**: 34 meV/atom

abc: 2.700 2.700 7.453
angles: 90.00 90.00 90.00
Fractional positions:
Ni  0.000  0.000  0.000
Os  0.500  0.500  0.223
Pt  0.000  0.000  0.481
Pt  0.500  0.500  0.759

---

No. 29
Computed, not measured: NiOsPt at its PBEsol-relaxed geometry at the SCAN level of DFT.

**ρ**: 18.5 g cm⁻³
**Magnetic moment**: 0.75 Bohr magnetons per cell
**Formation energy**: 275 meV/atom

abc: 4.211 4.211 2.597
angles: 90.00 90.00 120.00
Fractional positions:
Ni  0.000  0.000  0.000
Os  0.333  0.667  0.497
Pt  0.667  0.333  0.997

---

| no. | D(E_F) (states/eV per cell) | raw total energy (eV per atom) |
| --- | --- | --- |
| 1 | 0.5 | -11.560 |
| 2 | 7.9 | -25.334 |
| 3 | 8.1 | -23.033 |
| 4 | 4.5 | -29.961 |
| 5 | 8.6 | -29.984 |
| 6 | 6.4 | -29.826 |
| 7 | 4.2 | -29.959 |
| 8 | 7.0 | -25.336 |
| 9 | 21.1 | -29.972 |
| 10 | 3.2 | -29.855 |
| 11 | 4.1 | -62.523 |
| 12 | 3.9 | -29.980 |
| 13 | 2.2 | -42.542 |
| 14 | 3.8 | -42.081 |
| 15 | 2.8 | -42.347 |
| 16 | 3.1 | -26.877 |
| 17 | 2.8 | -42.026 |
| 18 | 2.6 | -42.482 |
| 19 | 3.2 | -59.167 |
| 20 | 4.4 | -62.154 |
| 21 | 2.0 | -59.055 |
| 22 | 5.7 | -32.026 |
| 23 | 3.5 | -43.562 |
| 24 | 5.5 | -56.955 |
| 25 | 2.2 | -43.591 |
| 26 | 3.8 | -56.759 |
| 27 | 2.1 | -43.430 |
| 28 | 2.8 | -57.076 |
| 29 | 2.9 | -52.474 |